Material: Er4Al2S
Method: DFT, GGA-PBE
State: relaxed

Unit cell a=6.3592 b=6.3592 c=8.6234 alpha=122.24 beta=122.24 gamma=36.43
Fractional positions:
Er 0.0933 0.0933 0.3664
Er 0.3294 0.3294 0.9242
Er 0.6706 0.6706 0.0758
Er 0.9067 0.9067 0.6336
Al 0.3805 0.3805 0.3369
Al 0.6195 0.6195 0.6631
S 0.0000 0.0000 0.0000

total magnetization: 0.00 μB per atom
E_form (uncorrected): -5.441 eV per formula unit
V: 171.4 Å³ per cell
symmetry: C2/m

Material: LiHPtSe
Method: DFT, GGA-PBE
State: relaxed

Unit cell a=5.4009 b=5.4009 c=4.5623 alpha=105.64 beta=105.64 gamma=30.76
Fractional positions:
Li 0.0000 0.0000 0.0000
H 0.8196 0.8196 0.0477
Pt 0.2382 0.2382 0.8383
Se 0.5517 0.5517 0.5452

total magnetization: 0.00 μB per atom
energy relative to the lowest polymorph listed for this composition: 72 meV per atom
V: 65.3 Å³ per cell
symmetry: Cm

Material: Li2TlRhPb
Method: DFT, GGA-PBE
State: relaxed

Unit cell a=4.7563 b=4.7563 c=5.7085 alpha=90.00 beta=90.00 gamma=90.00
Fractional positions:
Li 0.0000 0.5000 0.0000
Li 0.5000 0.0000 0.0000
Tl 0.0000 0.0000 0.0000
Rh 0.5000 0.5000 0.5000
Pb 0.0000 0.0000 0.5000

total magnetization: 0.11 μB per atom
formation energy: 0.7733 eV per atom
V: 129.1 Å³ per cell
symmetry: P4/mmm

Material: TiSiI2O
Method: DFT, GGA-PBE
State: relaxed

Unit cell a=5.6631 b=5.6631 c=3.5311 alpha=90.00 beta=90.00 gamma=90.00
Fractional positions:
Ti 0.0000 0.0000 0.0000
Si 0.5000 0.5000 0.5000
I 0.0000 0.5000 0.5000
I 0.5000 0.0000 0.5000
O 0.5000 0.5000 0.0000

total magnetization: 0.52 μB per atom
E_form (uncorrected): -0.970 eV per formula unit
energy relative to the lowest polymorph listed for this composition: 358 meV per atom
V: 113.2 Å³ per cell
symmetry: P4/mmm

Material: RbAs3Ru
Method: DFT, GGA-PBE
State: relaxed

Unit cell a=4.9700 b=4.9700 c=4.9700 alpha=90.00 beta=90.00 gamma=90.00
Fractional positions:
Rb 0.0000 0.0000 0.0000
As 0.0000 0.5000 0.5000
As 0.5000 0.0000 0.5000
As 0.5000 0.5000 0.0000
Ru 0.5000 0.5000 0.5000

total magnetization: 0.00 μB per atom
formation energy: 0.2599 eV per atom
energy relative to the lowest polymorph listed for this composition: 0 meV per atom
V: 122.8 Å³ per cell
symmetry: Pm-3m

Material: YHfC2
Method: DFT, GGA-PBE
State: relaxed

Unit cell a=6.3899 b=6.3899 c=6.3899 alpha=131.29 beta=131.29 gamma=71.36
Fractional positions:
Y 0.0000 0.0000 0.0000
Y 0.7500 0.2500 0.5000
Hf 0.2500 0.7500 0.5000
Hf 0.5000 0.5000 0.0000
C 0.1604 0.6250 0.0354
C 0.3750 0.4104 0.5354
C 0.5896 0.1250 0.9646
C 0.8750 0.8396 0.4646

total magnetization: 0.00 μB per atom
formation energy: 0.0400 eV per atom
energy relative to the lowest polymorph listed for this composition: 484 meV per atom
V: 144.2 Å³ per cell
symmetry: I-42d

Material: RbBiNO2
Method: DFT, GGA-PBE
State: relaxed

Unit cell a=4.2093 b=4.2093 c=4.7720 alpha=90.00 beta=90.00 gamma=90.00
Fractional positions:
Rb 0.0000 0.0000 0.0000
Bi 0.5000 0.5000 0.5000
N 0.0000 0.0000 0.5000
O 0.0000 0.5000 0.0000
O 0.5000 0.0000 0.0000

total magnetization: 0.05 μB per atom
E_form (uncorrected): 6.786 eV per formula unit
V: 84.5 Å³ per cell
symmetry: P4/mmm

Material: Li10SiP2S12
Method: DFT, GGA-PBE
State: relaxed

Unit cell a=8.7950 b=8.7950 c=12.6126 alpha=90.00 beta=90.00 gamma=90.00
Fractional positions:
Li 0.0000 0.0000 0.0000
Li 0.0000 0.0000 0.5000
Li 0.2253 0.2432 0.4875
Li 0.2253 0.7568 0.4875
Li 0.2278 0.2641 0.7475
Li 0.2278 0.7359 0.7475
Li 0.2432 0.2253 0.9875
Li 0.2432 0.7747 0.9875
Li 0.2641 0.2278 0.2475
Li 0.2641 0.7722 0.2475
Li 0.5000 0.5000 0.3900
Li 0.5000 0.5000 0.8900
Li 0.7359 0.2278 0.2475
Li 0.7359 0.7722 0.2475
Li 0.7568 0.2253 0.9875
Li 0.7568 0.7747 0.9875
Li 0.7722 0.2641 0.7475
Li 0.7722 0.7359 0.7475
Li 0.7747 0.2432 0.4875
Li 0.7747 0.7568 0.4875
Si 0.0000 0.0000 0.2517
Si 0.0000 0.0000 0.7517
P 0.0000 0.5000 0.9534
P 0.5000 0.0000 0.4534
P 0.5000 0.5000 0.1360
P 0.5000 0.5000 0.6360
S 0.0000 0.1986 0.6529
S 0.0000 0.2011 0.3507
S 0.0000 0.3105 0.0472
S 0.0000 0.6895 0.0472
S 0.0000 0.7989 0.3507
S 0.0000 0.8014 0.6529
S 0.1943 0.5000 0.8610
S 0.1986 0.0000 0.1529
S 0.2011 0.0000 0.8507
S 0.3048 0.5000 0.5439
S 0.3080 0.5000 0.2276
S 0.3105 0.0000 0.5472
S 0.5000 0.1943 0.3610
S 0.5000 0.3048 0.0439
S 0.5000 0.3080 0.7276
S 0.5000 0.6920 0.7276
S 0.5000 0.6952 0.0439
S 0.5000 0.8057 0.3610
S 0.6895 0.0000 0.5472
S 0.6920 0.5000 0.2276
S 0.6952 0.5000 0.5439
S 0.7989 0.0000 0.8507
S 0.8014 0.0000 0.1529
S 0.8057 0.5000 0.8610

total magnetization: 0.00 μB per atom
E_form (uncorrected): -24.808 eV per formula unit
energy relative to the lowest polymorph listed for this composition: 12 meV per atom
V: 975.6 Å³ per cell
symmetry: P4_2mc

Material: B5C
Method: DFT, GGA-PBE
State: relaxed

Unit cell a=5.9384 b=5.9384 c=3.9874 alpha=90.00 beta=90.00 gamma=139.02
Fractional positions:
B 0.0000 0.0000 0.0000
B 0.0000 0.5000 0.1994
B 0.1253 0.8747 0.5000
B 0.2204 0.3773 0.8036
B 0.3773 0.2204 0.1964
B 0.5000 0.0000 0.8006
B 0.5000 0.5000 0.5000
B 0.6227 0.7796 0.1964
B 0.7796 0.6227 0.8036
B 0.8747 0.1253 0.5000
C 0.3261 0.6739 0.0000
C 0.6739 0.3261 0.0000

total magnetization: 0.00 μB per atom
formation energy: 0.5875 eV per atom
energy relative to the lowest polymorph listed for this composition: 391 meV per atom
V: 92.2 Å³ per cell
symmetry: C222

Material: CsNb2Br
Method: DFT, GGA-PBE
State: relaxed

Unit cell a=10.9845 b=10.9845 c=10.9845 alpha=154.42 beta=154.42 gamma=36.49
Fractional positions:
Cs 0.0000 0.0000 0.0000
Cs 0.7500 0.2500 0.5000
Nb 0.3217 0.1250 0.6967
Nb 0.3750 0.6783 0.8033
Nb 0.4283 0.6250 0.3033
Nb 0.8750 0.5717 0.1967
Br 0.2500 0.7500 0.5000
Br 0.5000 0.5000 0.0000

total magnetization: 0.00 μB per atom
E_form (uncorrected): 4.023 eV per formula unit
energy relative to the lowest polymorph listed for this composition: 0 meV per atom
V: 246.8 Å³ per cell
symmetry: I-42d

Material: LiCrAg2Cl6
Method: DFT, GGA-PBE
State: relaxed

Unit cell a=6.8585 b=6.8585 c=6.8585 alpha=57.64 beta=57.64 gamma=57.64
Fractional positions:
Li 0.0000 0.0000 0.0000
Cr 0.4950 0.4950 0.4950
Ag 0.2631 0.2631 0.2631
Ag 0.7714 0.7714 0.7714
Cl 0.1443 0.7215 0.3745
Cl 0.2594 0.6174 0.8446
Cl 0.3745 0.1443 0.7215
Cl 0.6174 0.8446 0.2594
Cl 0.7215 0.3745 0.1443
Cl 0.8446 0.2594 0.6174

total magnetization: 0.30 μB per atom
E_form (uncorrected): -9.448 eV per formula unit
V: 215.8 Å³ per cell
symmetry: R3

Material: Cd2AgCl5
Method: DFT, GGA-PBE
State: relaxed

Unit cell a=7.0745 b=7.0745 c=13.0516 alpha=90.00 beta=90.00 gamma=136.47
Fractional positions:
Cd 0.1362 0.8638 0.5604
Cd 0.1362 0.8638 0.9396
Cd 0.8638 0.1362 0.0604
Cd 0.8638 0.1362 0.4396
Ag 0.2114 0.7886 0.2500
Ag 0.7886 0.2114 0.7500
Cl 0.0517 0.9483 0.1196
Cl 0.0517 0.9483 0.3804
Cl 0.2192 0.7808 0.7500
Cl 0.3169 0.6831 0.0561
Cl 0.3169 0.6831 0.4439
Cl 0.6831 0.3169 0.5561
Cl 0.6831 0.3169 0.9439
Cl 0.7808 0.2192 0.2500
Cl 0.9483 0.0517 0.6196
Cl 0.9483 0.0517 0.8804

total magnetization: 0.00 μB per atom
E_form (uncorrected): -7.061 eV per formula unit
V: 449.9 Å³ per cell
symmetry: Cmcm

Question: Look up the total magnetization of the ninth one.
Answer: 0.00 μB per atom